No. 1
Pm3ThZr2N6, relaxed, DFT PBE; space group = C2/m, No. 12; uncorrected formation energy = -1.547 eV/atom
1.0
6.037 0.005 0.001
-3.013 5.232 0.001
-1.007 -1.744 5.743
Pm Th Zr N
3 1 2 6
direct
0.168 0.832 0.500
0.832 0.168 0.500
0.500 0.500 0.500
0.000 0.000 0.000
0.335 0.665 0.000
0.665 0.335 0.000
0.924 0.577 0.775
0.725 0.725 0.220
0.076 0.423 0.225
0.577 0.924 0.775
0.275 0.275 0.780
0.423 0.076 0.225

No. 2
Mg3AlCr, relaxed, DFT PBE; space group = Pm-3m, No. 221; E above lowest polymorph = 0.4080 eV/atom; ΔE_f = 1.260 eV/atom
1.0
5.024 0.000 0.000
0.000 5.024 0.000
0.000 0.000 5.024
Cr Mg Al
1 3 1
direct
0.500 0.500 0.500
0.000 0.500 0.000
0.000 0.000 0.500
0.500 0.000 0.000
0.000 0.000 0.000

No. 3
ErHgRh, relaxed, DFT PBE; space group = P3m1, No. 156; ΔE_f = -0.442 eV/atom
1.0
3.314 0.000 0.000
0.000 4.692 0.000
0.000 -2.346 4.064
Rh Hg Er
1 1 1
direct
0.169 0.333 0.667
0.166 0.000 0.000
0.666 0.667 0.333

Here are the calculated spin magnetization numbers, same order: 0.00, 0.09, 0.00 (μB per atom).